ZrAlS4 | GGA-PBE | optimized geometry

Results
- Calculated volume: 131 Å³ per cell
- Spin magnetization: 0.00 μB/cell
- Energy relative to the elements, uncorrected: -1.000 eV/atom
- Crystal system: monoclinic

abc: 3.572 5.898 6.286
angles: 82.79 90.00 90.00
Sites, in units of the cell vectors:
Zr: 0.500 0.000 0.500
S: 0.500 0.774 0.175
S: 0.000 0.751 0.703
S: 0.500 0.226 0.825
S: 0.000 0.249 0.297
Al: 0.000 0.000 0.000